i) {"formula": "Zr2NpSb", "functional": "PBE", "state": "optimized geometry", "spacegroup": "P4/mmm", "cell": [[4.6384, 0.0000, 0.0000], [0.0000, 4.6384, 0.0000], [0.0000, 0.0000, 4.2137]], "species": ["Zr", "Zr", "Np", "Sb"], "fractional_positions": [[0.0000, 0.5000, 0.0000], [0.5000, 0.0000, 0.0000], [0.0000, 0.0000, 0.5000], [0.5000, 0.5000, 0.5000]]}



ii) {"formula": "Zr2NpSb", "functional": "PBE", "state": "optimized geometry", "spacegroup": "R-3m", "cell": [[1.6865, 0.9737, 9.6749], [-1.6865, 0.9737, 9.6749], [0.0000, -1.9474, 9.6749]], "species": ["Zr", "Zr", "Np", "Sb"], "fractional_positions": [[0.2469, 0.2469, 0.2469], [0.7531, 0.7531, 0.7531], [0.0000, 0.0000, 0.0000], [0.5000, 0.5000, 0.5000]]}



The most stable arrangement is i), and the next structure is 24.7 kJ/mol of atoms less stable.



i) {"formula": "NpScSe3", "functional": "PBE", "state": "optimized geometry", "spacegroup": "Pnma", "cell": [[7.5585, 0.0000, 0.0000], [0.0000, 4.0080, 0.0000], [0.0000, 0.0000, 15.2558]], "species": ["Np", "Np", "Np", "Np", "Sc", "Sc", "Sc", "Sc", "Se", "Se", "Se", "Se", "Se", "Se", "Se", "Se", "Se", "Se", "Se", "Se"], "fractional_positions": [[0.1416, 0.2500, 0.2024], [0.3584, 0.7500, 0.7024], [0.6416, 0.2500, 0.2976], [0.8584, 0.7500, 0.7976], [0.2299, 0.7500, 0.4576], [0.2701, 0.2500, 0.9576], [0.7299, 0.7500, 0.0424], [0.7701, 0.2500, 0.5424], [0.0115, 0.2500, 0.3958], [0.1264, 0.7500, 0.0594], [0.1473, 0.2500, 0.7847], [0.3527, 0.7500, 0.2847], [0.3736, 0.2500, 0.5594], [0.4885, 0.7500, 0.8958], [0.5115, 0.2500, 0.1042], [0.6264, 0.7500, 0.4406], [0.6473, 0.2500, 0.7153], [0.8527, 0.7500, 0.2153], [0.8736, 0.2500, 0.9406], [0.9885, 0.7500, 0.6042]]}



ii) {"formula": "NpScSe3", "functional": "PBE", "state": "optimized geometry", "spacegroup": "P2_1/c", "cell": [[9.5273, 0.0000, 0.0000], [0.0000, 5.6337, 0.0000], [-6.5996, 0.0000, 9.0804]], "species": ["Np", "Np", "Np", "Np", "Sc", "Sc", "Sc", "Sc", "Se", "Se", "Se", "Se", "Se", "Se", "Se", "Se", "Se", "Se", "Se", "Se"], "fractional_positions": [[0.2270, 0.1915, 0.3642], [0.2270, 0.3085, 0.8642], [0.7730, 0.6915, 0.1358], [0.7730, 0.8085, 0.6358], [0.2345, 0.7487, 0.6176], [0.2345, 0.7513, 0.1176], [0.7655, 0.2487, 0.8824], [0.7655, 0.2513, 0.3824], [0.1261, 0.2499, 0.0637], [0.1261, 0.2501, 0.5637], [0.1637, 0.6892, 0.3321], [0.1637, 0.8108, 0.8321], [0.4999, 0.0022, 0.3455], [0.4999, 0.4978, 0.8455], [0.5001, 0.5022, 0.1545], [0.5001, 0.9978, 0.6545], [0.8363, 0.1892, 0.1679], [0.8363, 0.3108, 0.6679], [0.8739, 0.7499, 0.4363], [0.8739, 0.7501, 0.9363]]}



The most stable arrangement is i), and the next structure is 7.3 kJ/mol of atoms less stable.



i) {"formula": "ThNpSc", "functional": "PBE", "state": "optimized geometry", "spacegroup": "Fmmm", "cell": [[0.0000, 5.4064, 5.8401], [2.3789, 0.0000, 5.8401], [2.3789, 5.4064, 0.0000]], "species": ["Th", "Th", "Np", "Np", "Sc", "Sc"], "fractional_positions": [[0.1481, 0.1481, 0.8519], [0.8519, 0.8519, 0.1481], [0.2500, 0.2500, 0.2500], [0.7500, 0.7500, 0.7500], [0.3413, 0.6587, 0.3413], [0.6587, 0.3413, 0.6587]]}



ii) {"formula": "ThNpSc", "functional": "PBE", "state": "optimized geometry", "spacegroup": "P3m1", "cell": [[3.3717, 0.0000, 0.0000], [-1.6858, 2.9200, 0.0000], [0.0000, 0.0000, 8.1460]], "species": ["Th", "Np", "Sc"], "fractional_positions": [[0.0000, 0.0000, 0.0000], [0.3333, 0.6667, 0.6686], [0.6667, 0.3333, 0.3420]]}



The most stable arrangement is ii), and the next structure is 5.0 kJ/mol of atoms less stable.



i) {"formula": "Np3Se5", "functional": "PBE", "state": "optimized geometry", "spacegroup": "P6_3/mcm", "cell": [[8.2232, 0.0000, 0.0000], [-4.1116, 7.1215, 0.0000], [0.0000, 0.0000, 6.4720]], "species": ["Np", "Np", "Np", "Np", "Np", "Np", "Se", "Se", "Se", "Se", "Se", "Se", "Se", "Se", "Se", "Se"], "fractional_positions": [[0.0000, 0.3916, 0.2500], [0.0000, 0.6084, 0.7500], [0.3916, 0.0000, 0.2500], [0.3916, 0.3916, 0.7500], [0.6084, 0.0000, 0.7500], [0.6084, 0.6084, 0.2500], [0.0000, 0.2513, 0.7500], [0.0000, 0.7487, 0.2500], [0.2513, 0.0000, 0.7500], [0.2513, 0.2513, 0.2500], [0.3333, 0.6667, 0.0000], [0.3333, 0.6667, 0.5000], [0.6667, 0.3333, 0.0000], [0.6667, 0.3333, 0.5000], [0.7487, 0.0000, 0.2500], [0.7487, 0.7487, 0.7500]]}



ii) {"formula": "Np3Se5", "functional": "PBE", "state": "optimized geometry", "spacegroup": "Pnma", "cell": [[12.0808, 0.0000, 0.0000], [0.0000, 8.2581, 0.0000], [0.0000, 0.0000, 7.6893]], "species": ["Np", "Np", "Np", "Np", "Np", "Np", "Np", "Np", "Np", "Np", "Np", "Np", "Se", "Se", "Se", "Se", "Se", "Se", "Se", "Se", "Se", "Se", "Se", "Se", "Se", "Se", "Se", "Se", "Se", "Se", "Se", "Se"], "fractional_positions": [[0.0089, 0.2500, 0.0801], [0.1801, 0.0019, 0.5188], [0.1801, 0.4981, 0.5188], [0.3199, 0.5019, 0.0188], [0.3199, 0.9981, 0.0188], [0.4911, 0.7500, 0.5801], [0.5089, 0.2500, 0.4199], [0.6801, 0.0019, 0.9812], [0.6801, 0.4981, 0.9812], [0.8199, 0.5019, 0.4812], [0.8199, 0.9981, 0.4812], [0.9911, 0.7500, 0.9199], [0.9995, 0.2500, 0.4648], [0.0005, 0.7500, 0.5352], [0.0971, 0.5491, 0.1677], [0.0971, 0.9509, 0.1677], [0.1864, 0.2500, 0.8276], [0.2187, 0.7500, 0.7955], [0.2813, 0.2500, 0.2955], [0.3136, 0.7500, 0.3276], [0.4029, 0.0491, 0.6677], [0.4029, 0.4509, 0.6677], [0.4995, 0.2500, 0.0352], [0.5005, 0.7500, 0.9648], [0.5971, 0.5491, 0.3323], [0.5971, 0.9509, 0.3323], [0.6864, 0.2500, 0.6724], [0.7187, 0.7500, 0.7045], [0.7813, 0.2500, 0.2045], [0.8136, 0.7500, 0.1724], [0.9029, 0.0491, 0.8323], [0.9029, 0.4509, 0.8323]]}



iii) {"formula": "Np3Se5", "functional": "PBE", "state": "optimized geometry", "spacegroup": "C2/m", "cell": [[3.3447, -7.7589, 0.0000], [3.3447, 7.7589, 0.0000], [-1.8841, 0.0000, 7.5388]], "species": ["Np", "Np", "Np", "Np", "Np", "Np", "Se", "Se", "Se", "Se", "Se", "Se", "Se", "Se", "Se", "Se"], "fractional_positions": [[0.1550, 0.8450, 0.0000], [0.2480, 0.7520, 0.5000], [0.4342, 0.4342, 0.7009], [0.5658, 0.5658, 0.2991], [0.7520, 0.2480, 0.5000], [0.8450, 0.1550, 0.0000], [0.1170, 0.3287, 0.3778], [0.1388, 0.5153, 0.8002], [0.2370, 0.2370, 0.9815], [0.3287, 0.1170, 0.3778], [0.4847, 0.8612, 0.1998], [0.5153, 0.1388, 0.8002], [0.6713, 0.8830, 0.6222], [0.7630, 0.7630, 0.0185], [0.8612, 0.4847, 0.1998], [0.8830, 0.6713, 0.6222]]}



The most stable arrangement is ii), and the next structure is 6.5 kJ/mol of atoms less stable.



i) {"formula": "Sm3NpSe6", "functional": "PBE", "state": "optimized geometry", "spacegroup": "P2_1/m", "cell": [[11.7630, 0.0000, 0.0000], [0.0000, 4.1783, 0.0000], [-3.8697, 0.0000, 11.3777]], "species": ["Sm", "Sm", "Sm", "Sm", "Sm", "Sm", "Np", "Np", "Se", "Se", "Se", "Se", "Se", "Se", "Se", "Se", "Se", "Se", "Se", "Se"], "fractional_positions": [[0.0713, 0.2500, 0.1676], [0.1811, 0.7500, 0.5027], [0.3418, 0.2500, 0.9193], [0.6582, 0.7500, 0.0807], [0.8189, 0.2500, 0.4973], [0.9287, 0.7500, 0.8324], [0.4551, 0.2500, 0.3104], [0.5449, 0.7500, 0.6896], [0.0186, 0.2500, 0.3841], [0.1015, 0.2500, 0.9342], [0.2508, 0.7500, 0.2787], [0.3105, 0.7500, 0.7500], [0.3890, 0.2500, 0.5385], [0.4171, 0.7500, 0.1028], [0.5829, 0.2500, 0.8972], [0.6110, 0.7500, 0.4615], [0.6895, 0.2500, 0.2500], [0.7492, 0.2500, 0.7213], [0.8985, 0.7500, 0.0658], [0.9814, 0.7500, 0.6159]]}



ii) {"formula": "Sm3NpSe6", "functional": "PBE", "state": "optimized geometry", "spacegroup": "R3", "cell": [[3.6856, 2.1279, 6.6070], [-3.6856, 2.1279, 6.6070], [0.0000, -4.2558, 6.6070]], "species": ["Sm", "Sm", "Sm", "Np", "Se", "Se", "Se", "Se", "Se", "Se"], "fractional_positions": [[0.0000, 0.0000, 0.0000], [0.1990, 0.1990, 0.1990], [0.5001, 0.5001, 0.5001], [0.6976, 0.6976, 0.6976], [0.0971, 0.4031, 0.7987], [0.2980, 0.9002, 0.5998], [0.4031, 0.7987, 0.0971], [0.5998, 0.2980, 0.9002], [0.7987, 0.0971, 0.4031], [0.9002, 0.5998, 0.2980]]}



The most stable arrangement is i), and the next structure is 3.8 kJ/mol of atoms less stable.



i) {"formula": "NpSnSe3", "functional": "PBE", "state": "optimized geometry", "spacegroup": "Cmc2_1", "cell": [[2.1050, -9.8125, 0.0000], [2.1050, 9.8125, 0.0000], [0.0000, 0.0000, 7.4938]], "species": ["Np", "Np", "Sn", "Sn", "Se", "Se", "Se", "Se", "Se", "Se"], "fractional_positions": [[0.1726, 0.8274, 0.5000], [0.8274, 0.1726, 0.0000], [0.3529, 0.6471, 0.5201], [0.6471, 0.3529, 0.0201], [0.0846, 0.9154, 0.1982], [0.2522, 0.7478, 0.8294], [0.4007, 0.5993, 0.1564], [0.5993, 0.4007, 0.6564], [0.7478, 0.2522, 0.3294], [0.9154, 0.0846, 0.6982]]}



ii) {"formula": "NpSnSe3", "functional": "PBE", "state": "optimized geometry", "spacegroup": "Imma", "cell": [[-2.8856, 5.2155, 4.5190], [2.8856, -5.2155, 4.5190], [2.8856, 5.2155, -4.5190]], "species": ["Np", "Np", "Sn", "Sn", "Se", "Se", "Se", "Se", "Se", "Se"], "fractional_positions": [[0.3089, 0.0589, 0.2500], [0.6911, 0.9411, 0.7500], [0.0000, 0.5000, 0.5000], [0.5000, 0.5000, 0.0000], [0.1108, 0.1557, 0.9550], [0.2993, 0.8443, 0.4550], [0.3680, 0.6180, 0.7500], [0.6320, 0.3820, 0.2500], [0.7007, 0.1557, 0.5450], [0.8892, 0.8443, 0.0450]]}



The most stable arrangement is i), and the next structure is 19.0 kJ/mol of atoms less stable.



i) {"formula": "SrNpSe3", "functional": "PBE", "state": "optimized geometry", "spacegroup": "C2/m", "cell": [[7.3728, -2.6669, 0.0000], [7.3728, 2.6669, 0.0000], [-1.2232, 0.0000, 8.4201]], "species": ["Sr", "Sr", "Np", "Np", "Se", "Se", "Se", "Se", "Se", "Se"], "fractional_positions": [[0.1377, 0.1377, 0.3629], [0.8623, 0.8623, 0.6371], [0.3670, 0.3670, 0.0836], [0.6330, 0.6330, 0.9164], [0.1690, 0.1690, 0.9855], [0.3427, 0.3427, 0.3988], [0.4449, 0.4449, 0.7990], [0.5551, 0.5551, 0.2010], [0.6573, 0.6573, 0.6012], [0.8310, 0.8310, 0.0145]]}



ii) {"formula": "SrNpSe3", "functional": "PBE", "state": "optimized geometry", "spacegroup": "Pnma", "cell": [[7.9027, 0.0000, 0.0000], [0.0000, 4.2865, 0.0000], [0.0000, 0.0000, 16.2682]], "species": ["Sr", "Sr", "Sr", "Sr", "Np", "Np", "Np", "Np", "Se", "Se", "Se", "Se", "Se", "Se", "Se", "Se", "Se", "Se", "Se", "Se"], "fractional_positions": [[0.1226, 0.2500, 0.2042], [0.3774, 0.7500, 0.7042], [0.6226, 0.2500, 0.2958], [0.8774, 0.7500, 0.7958], [0.2282, 0.7500, 0.4587], [0.2718, 0.2500, 0.9587], [0.7282, 0.7500, 0.0413], [0.7718, 0.2500, 0.5413], [0.0092, 0.2500, 0.4045], [0.1308, 0.7500, 0.0519], [0.1677, 0.2500, 0.7923], [0.3323, 0.7500, 0.2923], [0.3692, 0.2500, 0.5519], [0.4908, 0.7500, 0.9045], [0.5092, 0.2500, 0.0955], [0.6308, 0.7500, 0.4481], [0.6677, 0.2500, 0.7077], [0.8323, 0.7500, 0.2077], [0.8692, 0.2500, 0.9481], [0.9908, 0.7500, 0.5955]]}



The most stable arrangement is ii), and the next structure is 9.9 kJ/mol of atoms less stable.



i) {"formula": "NpTa4Se8", "functional": "PBE", "state": "optimized geometry", "spacegroup": "R-3m", "cell": [[3.5762, 2.0647, 6.8055], [-3.5762, 2.0647, 6.8055], [0.0000, -4.1294, 6.8055]], "species": ["Np", "Ta", "Ta", "Ta", "Ta", "Se", "Se", "Se", "Se", "Se", "Se", "Se", "Se"], "fractional_positions": [[0.0000, 0.0000, 0.0000], [0.0000, 0.0000, 0.5000], [0.0000, 0.5000, 0.0000], [0.5000, 0.0000, 0.0000], [0.5000, 0.5000, 0.5000], [0.2459, 0.2459, 0.2459], [0.2597, 0.2597, 0.7397], [0.2597, 0.7397, 0.2597], [0.2603, 0.7403, 0.7403], [0.7397, 0.2597, 0.2597], [0.7403, 0.2603, 0.7403], [0.7403, 0.7403, 0.2603], [0.7541, 0.7541, 0.7541]]}



ii) {"formula": "NpTa4Se8", "functional": "PBE", "state": "optimized geometry", "spacegroup": "F-43m", "cell": [[0.0000, 5.3887, 5.3887], [5.3887, 0.0000, 5.3887], [5.3887, 5.3887, 0.0000]], "species": ["Np", "Ta", "Ta", "Ta", "Ta", "Se", "Se", "Se", "Se", "Se", "Se", "Se", "Se"], "fractional_positions": [[0.0000, 0.0000, 0.0000], [0.1950, 0.6017, 0.6017], [0.6017, 0.1950, 0.6017], [0.6017, 0.6017, 0.1950], [0.6017, 0.6017, 0.6017], [0.3671, 0.3671, 0.3671], [0.3671, 0.3671, 0.8986], [0.3671, 0.8986, 0.3671], [0.4359, 0.8547, 0.8547], [0.8547, 0.4359, 0.8547], [0.8547, 0.8547, 0.4359], [0.8547, 0.8547, 0.8547], [0.8986, 0.3671, 0.3671]]}



The most stable arrangement is i), and the next structure is 6.3 kJ/mol of atoms less stable.